(1)
An optimized crystal structure of Sm4TeSe3, computed with PBE-GGA.

## Properties
- D(E_F) (states/eV per cell) = 8.06
- excess energy over the best structure of this formula in the dataset (meV per atom) = 241
- raw formation energy (kcal/mol of atoms) = -34.3
- volume (Å³/f.u.) = 255.5

Cell and atoms, written as CIF:
```
data_Sm4TeSe3
_cell_length_a 5.9541
_cell_length_b 8.5117
_cell_length_c 10.0848
_cell_angle_alpha 90.00
_cell_angle_beta 90.00
_cell_angle_gamma 90.00
_symmetry_space_group_name_H-M 'P 1'
_symmetry_Int_Tables_number 1
loop_
_symmetry_equiv_pos_as_xyz
'x,y,z'
loop_
_atom_site_label
_atom_site_fract_x
_atom_site_fract_y
_atom_site_fract_z
Sm1 0.0645 0.8814 0.0000
Sm2 0.5644 0.2434 0.0000
Sm3 0.0644 0.3483 0.3009
Sm4 0.5644 0.6517 0.1991
Sm5 0.0644 0.7566 0.5000
Sm6 0.5645 0.1186 0.5000
Sm7 0.5644 0.6517 0.8009
Sm8 0.0644 0.3483 0.6991
Te1 0.0644 0.2524 0.0000
Te2 0.5644 0.7476 0.5000
Se1 0.5645 0.9021 0.0000
Se2 0.0644 0.6728 0.2166
Se3 0.5644 0.3272 0.2834
Se4 0.0645 0.0979 0.5000
Se5 0.5644 0.3272 0.7166
Se6 0.0644 0.6728 0.7834
```

=====

(2)
An optimized crystal structure of NdGa11Co, computed with PBE-GGA.

## Properties
- D(E_F) (states/eV per cell) = 5.62
- energy of formation (eV/atom) = -0.158
- volume (Å³/f.u.) = 236.4

Cell and atoms, written as CIF:
```
data_NdGa11Co
_cell_length_a 5.2217
_cell_length_b 7.5761
_cell_length_c 6.7015
_cell_angle_alpha 84.41
_cell_angle_beta 67.07
_cell_angle_gamma 75.53
_symmetry_space_group_name_H-M 'P 1'
_symmetry_Int_Tables_number 1
loop_
_symmetry_equiv_pos_as_xyz
'x,y,z'
loop_
_atom_site_label
_atom_site_fract_x
_atom_site_fract_y
_atom_site_fract_z
Nd1 0.0000 0.0000 0.0000
Ga1 0.2693 0.2357 0.2137
Ga2 0.7307 0.7643 0.7863
Ga3 0.5169 0.7643 0.2137
Ga4 0.4831 0.2357 0.7863
Ga5 0.3886 0.6296 0.6590
Ga6 0.6114 0.3704 0.3410
Ga7 0.9524 0.3704 0.6590
Ga8 0.0476 0.6296 0.3410
Ga9 0.0000 0.5000 0.0000
Ga10 0.5000 0.0000 0.5000
Ga11 0.0000 0.0000 0.5000
Co1 0.5000 0.5000 0.0000
```

=====

(3)
An optimized crystal structure of Zr2Ti2Se, computed with PBE-GGA.

## Properties
- D(E_F) (states/eV per cell) = 4.54
- excess energy over the best structure of this formula in the dataset (meV per atom) = 0
- raw formation energy (kcal/mol of atoms) = -4.5
- volume (Å³/f.u.) = 100.9

Cell and atoms, written as CIF:
```
data_Zr2Ti2Se
_cell_length_a 6.4875
_cell_length_b 6.4875
_cell_length_c 4.7954
_cell_angle_alpha 90.00
_cell_angle_beta 90.00
_cell_angle_gamma 90.00
_symmetry_space_group_name_H-M 'P 1'
_symmetry_Int_Tables_number 1
loop_
_symmetry_equiv_pos_as_xyz
'x,y,z'
loop_
_atom_site_label
_atom_site_fract_x
_atom_site_fract_y
_atom_site_fract_z
Se1 0.0000 0.0000 0.0000
Se2 0.5000 0.5000 0.0000
Zr1 0.1553 0.6553 0.5000
Zr2 0.6553 0.8447 0.5000
Zr3 0.8447 0.3447 0.5000
Zr4 0.3447 0.1553 0.5000
Ti1 0.3530 0.8530 0.0000
Ti2 0.8530 0.6470 0.0000
Ti3 0.6470 0.1470 0.0000
Ti4 0.1470 0.3530 0.0000
```

=====

(4)
An optimized crystal structure of CeDyRhAu, computed with PBE-GGA.

## Properties
- D(E_F) (states/eV per cell) = 7.03
- energy of formation (eV/atom) = -0.698
- volume (Å³/f.u.) = 90.2

Cell and atoms, written as CIF:
```
data_CeDyRhAu
_cell_length_a 5.0332
_cell_length_b 5.0332
_cell_length_c 5.0332
_cell_angle_alpha 60.00
_cell_angle_beta 60.00
_cell_angle_gamma 60.00
_symmetry_space_group_name_H-M 'P 1'
_symmetry_Int_Tables_number 1
loop_
_symmetry_equiv_pos_as_xyz
'x,y,z'
loop_
_atom_site_label
_atom_site_fract_x
_atom_site_fract_y
_atom_site_fract_z
Rh1 0.0000 0.0000 0.0000
Au1 0.5000 0.5000 0.5000
Ce1 0.7500 0.7500 0.7500
Dy1 0.2500 0.2500 0.2500
```

=====

(5)
An optimized crystal structure of Nd2AgP3Pt12, computed with PBE-GGA.

## Properties
- D(E_F) (states/eV per cell) = 6.32
- energy of formation (eV/atom) = -0.345
- volume (Å³/f.u.) = 355.3

Cell and atoms, written as CIF:
```
data_Nd2AgP3Pt12
_cell_length_a 7.6103
_cell_length_b 7.6103
_cell_length_c 7.6103
_cell_angle_alpha 66.50
_cell_angle_beta 66.50
_cell_angle_gamma 66.50
_symmetry_space_group_name_H-M 'P 1'
_symmetry_Int_Tables_number 1
loop_
_symmetry_equiv_pos_as_xyz
'x,y,z'
loop_
_atom_site_label
_atom_site_fract_x
_atom_site_fract_y
_atom_site_fract_z
Nd1 0.6083 0.6083 0.6083
Nd2 0.3917 0.3917 0.3917
Ag1 0.0000 0.0000 0.0000
P1 0.5000 0.0000 0.0000
P2 0.0000 0.5000 0.0000
P3 0.0000 0.0000 0.5000
Pt1 0.3410 0.3410 0.8967
Pt2 0.8661 0.8661 0.3837
Pt3 0.3837 0.8661 0.8661
Pt4 0.8967 0.3410 0.3410
Pt5 0.8661 0.3837 0.8661
Pt6 0.3410 0.8967 0.3410
Pt7 0.6590 0.6590 0.1033
Pt8 0.1339 0.1339 0.6163
Pt9 0.6163 0.1339 0.1339
Pt10 0.1033 0.6590 0.6590
Pt11 0.1339 0.6163 0.1339
Pt12 0.6590 0.1033 0.6590
```

=====

(6)
An optimized crystal structure of MnFeTe2, computed with PBE-GGA.

## Properties
- D(E_F) (states/eV per cell) = 4.91
- raw formation energy (kcal/mol of atoms) = 8.9
- volume (Å³/f.u.) = 73.4

Cell and atoms, written as CIF:
```
data_MnFeTe2
_cell_length_a 4.6966
_cell_length_b 4.6967
_cell_length_c 3.3259
_cell_angle_alpha 90.00
_cell_angle_beta 90.00
_cell_angle_gamma 90.00
_symmetry_space_group_name_H-M 'P 1'
_symmetry_Int_Tables_number 1
loop_
_symmetry_equiv_pos_as_xyz
'x,y,z'
loop_
_atom_site_label
_atom_site_fract_x
_atom_site_fract_y
_atom_site_fract_z
Fe1 0.5000 0.0000 0.5000
Mn1 0.0000 0.5000 0.5000
Te1 0.0000 0.0000 0.0000
Te2 0.5000 0.5000 0.0000
```

=====

(7)
An optimized crystal structure of Pa4Al12Ag, computed with PBE-GGA.

## Properties
- D(E_F) (states/eV per cell) = 18.94
- energy of formation (eV/atom) = -0.253
- volume (Å³/f.u.) = 331.7

Cell and atoms, written as CIF:
```
data_Pa4Al12Ag
_cell_length_a 7.5529
_cell_length_b 7.5529
_cell_length_c 7.5529
_cell_angle_alpha 109.47
_cell_angle_beta 109.47
_cell_angle_gamma 109.47
_symmetry_space_group_name_H-M 'P 1'
_symmetry_Int_Tables_number 1
loop_
_symmetry_equiv_pos_as_xyz
'x,y,z'
loop_
_atom_site_label
_atom_site_fract_x
_atom_site_fract_y
_atom_site_fract_z
Pa1 0.0000 0.0000 0.5000
Pa2 0.5000 0.0000 0.0000
Pa3 0.5000 0.5000 0.5000
Pa4 0.0000 0.5000 0.0000
Al1 0.0000 0.3039 0.3039
Al2 0.0000 0.6961 0.6961
Al3 0.6961 0.6961 0.0000
Al4 0.3039 0.3039 0.0000
Al5 0.3039 0.0000 0.3039
Al6 0.6961 0.0000 0.6961
Al7 0.5000 0.2500 0.7500
Al8 0.5000 0.7500 0.2500
Al9 0.7500 0.2500 0.5000
Al10 0.2500 0.7500 0.5000
Al11 0.7500 0.5000 0.2500
Al12 0.2500 0.5000 0.7500
Ag1 0.0000 0.0000 0.0000
```

=====

(8)
An optimized crystal structure of BaPrMg17, computed with PBE-GGA.

## Properties
- D(E_F) (states/eV per cell) = 9.34
- energy of formation (eV/atom) = -0.064
- volume (Å³/f.u.) = 486.9

Cell and atoms, written as CIF:
```
data_BaPrMg17
_cell_length_a 7.9290
_cell_length_b 7.9290
_cell_length_c 7.9290
_cell_angle_alpha 82.57
_cell_angle_beta 82.57
_cell_angle_gamma 82.57
_symmetry_space_group_name_H-M 'P 1'
_symmetry_Int_Tables_number 1
loop_
_symmetry_equiv_pos_as_xyz
'x,y,z'
loop_
_atom_site_label
_atom_site_fract_x
_atom_site_fract_y
_atom_site_fract_z
Ba1 0.6635 0.6635 0.6635
Pr1 0.3304 0.3304 0.3304
Mg1 0.2956 0.0031 0.7015
Mg2 0.7015 0.2956 0.0031
Mg3 0.0031 0.7015 0.2956
Mg4 0.2956 0.7015 0.0031
Mg5 0.0031 0.2956 0.7015
Mg6 0.7015 0.0031 0.2956
Mg7 0.3465 0.8511 0.3465
Mg8 0.3465 0.3465 0.8511
Mg9 0.8511 0.3465 0.3465
Mg10 0.6461 0.1646 0.6461
Mg11 0.6461 0.6461 0.1646
Mg12 0.1646 0.6461 0.6461
Mg13 0.9998 0.5009 0.9998
Mg14 0.9998 0.9998 0.5009
Mg15 0.5009 0.9998 0.9998
Mg16 0.9041 0.9041 0.9041
Mg17 0.1004 0.1004 0.1004
```

=====

(9)
An optimized crystal structure of Ba3TeOs, computed with PBE-GGA.

## Properties
- D(E_F) (states/eV per cell) = 3.08
- excess energy over the best structure of this formula in the dataset (meV per atom) = 0
- raw formation energy (kcal/mol of atoms) = -4.4
- volume (Å³/f.u.) = 207.6

Cell and atoms, written as CIF:
```
data_Ba3TeOs
_cell_length_a 5.9213
_cell_length_b 5.9213
_cell_length_c 5.9213
_cell_angle_alpha 90.00
_cell_angle_beta 90.00
_cell_angle_gamma 90.00
_symmetry_space_group_name_H-M 'P 1'
_symmetry_Int_Tables_number 1
loop_
_symmetry_equiv_pos_as_xyz
'x,y,z'
loop_
_atom_site_label
_atom_site_fract_x
_atom_site_fract_y
_atom_site_fract_z
Te1 0.5000 0.5000 0.5000
Os1 0.0000 0.0000 0.0000
Ba1 0.0000 0.5000 0.0000
Ba2 0.0000 0.0000 0.5000
Ba3 0.5000 0.0000 0.0000
```

=====

(10)
An optimized crystal structure of TaTeAsN2, computed with PBE-GGA.

## Properties
- D(E_F) (states/eV per cell) = 2.67
- excess energy over the best structure of this formula in the dataset (meV per atom) = 0
- raw formation energy (kcal/mol of atoms) = 10.1
- volume (Å³/f.u.) = 96.5

Cell and atoms, written as CIF:
```
data_TaTeAsN2
_cell_length_a 4.0465
_cell_length_b 4.0465
_cell_length_c 5.8946
_cell_angle_alpha 90.00
_cell_angle_beta 90.00
_cell_angle_gamma 90.00
_symmetry_space_group_name_H-M 'P 1'
_symmetry_Int_Tables_number 1
loop_
_symmetry_equiv_pos_as_xyz
'x,y,z'
loop_
_atom_site_label
_atom_site_fract_x
_atom_site_fract_y
_atom_site_fract_z
N1 0.0000 0.5000 0.0000
N2 0.5000 0.0000 0.0000
As1 0.5000 0.5000 0.5000
Te1 0.0000 0.0000 0.5000
Ta1 0.0000 0.0000 0.0000
```

=====

(11)
An optimized crystal structure of AlAuS2, computed with PBE-GGA.

## Properties
- D(E_F) (states/eV per cell) = 0.00
- raw formation energy (kcal/mol of atoms) = -16.4
- volume (Å³/f.u.) = 105.5

Cell and atoms, written as CIF:
```
data_AlAuS2
_cell_length_a 5.4699
_cell_length_b 6.3655
_cell_length_c 6.0583
_cell_angle_alpha 90.00
_cell_angle_beta 90.01
_cell_angle_gamma 90.00
_symmetry_space_group_name_H-M 'P 1'
_symmetry_Int_Tables_number 1
loop_
_symmetry_equiv_pos_as_xyz
'x,y,z'
loop_
_atom_site_label
_atom_site_fract_x
_atom_site_fract_y
_atom_site_fract_z
S1 0.9472 0.0849 0.0463
S2 0.9472 0.4593 0.5463
S3 0.4886 0.0849 0.5463
S4 0.4885 0.4594 0.0462
Au1 0.7178 0.7721 0.0462
Au2 0.7180 0.7722 0.5462
Al1 0.7178 0.2721 0.7963
Al2 0.7178 0.2721 0.2963
```

=====

(12)
An optimized crystal structure of BiP2IrS, computed with PBE-GGA.

## Properties
- D(E_F) (states/eV per cell) = 6.21
- excess energy over the best structure of this formula in the dataset (meV per atom) = 1584
- raw formation energy (kcal/mol of atoms) = 46.4
- volume (Å³/f.u.) = 133.4

Cell and atoms, written as CIF:
```
data_BiP2IrS
_cell_length_a 5.1616
_cell_length_b 5.1616
_cell_length_c 5.0075
_cell_angle_alpha 90.00
_cell_angle_beta 90.00
_cell_angle_gamma 90.00
_symmetry_space_group_name_H-M 'P 1'
_symmetry_Int_Tables_number 1
loop_
_symmetry_equiv_pos_as_xyz
'x,y,z'
loop_
_atom_site_label
_atom_site_fract_x
_atom_site_fract_y
_atom_site_fract_z
P1 0.0000 0.5000 0.0000
P2 0.5000 0.0000 0.0000
S1 0.0000 0.0000 0.5000
Ir1 0.5000 0.5000 0.5000
Bi1 0.0000 0.0000 0.0000
```